{"formula": "Sc4FeBi", "functional": "PBE", "state": "optimized geometry", "lattice_angstrom": [[-2.311, 2.799, 4.308], [-5.956, -1.135, -4.484], [2.324, -6.347, 3.345]], "species": ["Sc", "Sc", "Sc", "Sc", "Sc", "Sc", "Sc", "Sc", "Fe", "Fe", "Bi", "Bi"], "frac_coords": [[0.861, 0.659, 0.802], [0.060, 0.947, 0.266], [0.639, 0.198, 0.341], [0.440, 0.734, 0.053], [0.560, 0.266, 0.947], [0.361, 0.802, 0.659], [0.940, 0.053, 0.734], [0.139, 0.341, 0.198], [0.250, 0.000, 0.000], [0.750, 0.000, 0.000], [0.750, 0.630, 0.370], [0.250, 0.370, 0.630]], "space_group": "C2/c", "formation_enthalpy_0k_mev_per_atom": -352, "crystal_system": "monoclinic", "e_above_lowest_polymorph_ev_per_fu": 0.000, "total_energy_ev_per_fu": -39.779}

{"formula": "LiPaInTe3", "functional": "PBE", "state": "optimized geometry", "lattice_angstrom": [[-0.188, -3.847, -2.114], [5.165, 3.681, -7.161], [6.622, -3.807, 6.339]], "species": ["Li", "Li", "Pa", "Pa", "In", "In", "Te", "Te", "Te", "Te", "Te", "Te"], "frac_coords": [[0.250, 0.079, 0.593], [0.750, 0.921, 0.407], [0.250, 0.671, 0.158], [0.750, 0.329, 0.842], [0.250, 0.189, 0.244], [0.750, 0.811, 0.756], [0.750, 0.883, 0.120], [0.250, 0.117, 0.880], [0.250, 0.778, 0.473], [0.750, 0.222, 0.527], [0.750, 0.444, 0.167], [0.250, 0.556, 0.833]], "space_group": "P2_1/m", "crystal_system": "monoclinic", "total_energy_ev_per_fu": -27.719}

{"formula": "Tb3PrThSc", "functional": "PBE", "state": "optimized geometry", "lattice_angstrom": [[-0.048, -1.212, 4.889], [6.829, -3.894, -0.898], [0.735, 10.231, 2.542]], "species": ["Tb", "Tb", "Tb", "Tb", "Tb", "Tb", "Pr", "Pr", "Th", "Th", "Sc", "Sc"], "frac_coords": [[0.750, 0.869, 0.047], [0.250, 0.131, 0.953], [0.250, 0.635, 0.457], [0.750, 0.365, 0.543], [0.750, 0.388, 0.209], [0.250, 0.612, 0.791], [0.250, 0.122, 0.297], [0.750, 0.878, 0.703], [0.250, 0.622, 0.124], [0.750, 0.378, 0.876], [0.250, 0.128, 0.627], [0.750, 0.872, 0.373]], "space_group": "P2_1/m", "formation_enthalpy_0k_mev_per_atom": 43, "crystal_system": "monoclinic", "total_energy_ev_per_fu": -32.162}

{"formula": "LaH7Pd2Rh2", "functional": "PBE", "state": "optimized geometry", "lattice_angstrom": [[4.669, 0.000, 0.000], [2.334, 4.043, 0.000], [2.334, 1.348, 6.579]], "species": ["La", "H", "H", "H", "H", "H", "H", "H", "Pd", "Pd", "Rh", "Rh"], "frac_coords": [[0.500, 0.500, 0.500], [0.088, 0.088, 0.319], [0.505, 0.088, 0.319], [0.088, 0.505, 0.319], [0.495, 0.912, 0.681], [0.912, 0.495, 0.681], [0.000, 0.000, 0.000], [0.912, 0.912, 0.681], [0.695, 0.695, 0.914], [0.305, 0.305, 0.086], [0.920, 0.920, 0.241], [0.080, 0.080, 0.759]], "space_group": "R-3m", "crystal_system": "trigonal", "total_energy_ev_per_fu": -55.105}

{"formula": "LaHf", "functional": "PBE", "state": "optimized geometry", "lattice_angstrom": [[8.381, 0.000, 0.000], [0.000, 8.381, 0.000], [0.000, 0.000, 8.381]], "species": ["La", "La", "La", "La", "La", "La", "Hf", "Hf", "Hf", "Hf", "Hf", "Hf"], "frac_coords": [[0.250, 0.000, 0.500], [0.750, 0.000, 0.500], [0.000, 0.500, 0.250], [0.000, 0.500, 0.750], [0.500, 0.250, 0.000], [0.500, 0.750, 0.000], [0.250, 0.500, 0.000], [0.750, 0.500, 0.000], [0.500, 0.000, 0.250], [0.500, 0.000, 0.750], [0.000, 0.250, 0.500], [0.000, 0.750, 0.500]], "space_group": "Pm-3n", "formation_enthalpy_0k_mev_per_atom": 2142, "crystal_system": "cubic", "e_above_lowest_polymorph_ev_per_fu": 3.892, "total_energy_ev_per_fu": -10.596}

{"formula": "TbSc2Hg4", "functional": "PBE", "state": "optimized geometry", "lattice_angstrom": [[-1.368, -4.538, 1.496], [5.067, -2.393, -2.623], [0.947, 1.655, 5.886]], "species": ["Tb", "Sc", "Sc", "Hg", "Hg", "Hg", "Hg"], "frac_coords": [[0.500, 0.500, 0.500], [0.000, 0.751, 0.249], [0.000, 0.249, 0.751], [0.000, 0.778, 0.778], [0.000, 0.222, 0.222], [0.500, 0.000, 0.500], [0.500, 0.500, 0.000]], "space_group": "Cmmm", "formation_enthalpy_0k_mev_per_atom": -335, "crystal_system": "orthorhombic", "total_energy_ev_per_fu": -20.846}

{"formula": "LiAs2Au", "functional": "PBE", "state": "optimized geometry", "lattice_angstrom": [[5.031, 0.026, -0.010], [-1.447, 4.818, -0.010], [0.006, 0.008, 2.959]], "species": ["As", "As", "Au", "Li"], "frac_coords": [[0.000, 0.000, 0.000], [0.500, 0.500, 0.000], [0.500, 0.000, 0.500], [0.000, 0.500, 0.500]], "space_group": "Cmmm", "formation_enthalpy_0k_mev_per_atom": -110, "crystal_system": "orthorhombic", "e_above_lowest_polymorph_ev_per_fu": 0.507, "total_energy_ev_per_fu": -14.929}

{"formula": "TaSb2CI", "functional": "PBE", "state": "optimized geometry", "lattice_angstrom": [[5.376, 0.000, 0.000], [0.000, 5.376, 0.000], [0.000, 0.000, 5.470]], "species": ["I", "Sb", "Sb", "C", "Ta"], "frac_coords": [[0.000, 0.000, 0.500], [0.000, 0.500, 0.000], [0.500, 0.000, 0.000], [0.500, 0.500, 0.500], [0.000, 0.000, 0.000]], "space_group": "P4/mmm", "crystal_system": "tetragonal", "e_above_lowest_polymorph_ev_per_fu": 1.477, "total_energy_ev_per_fu": -22.278}

{"formula": "TlRe3S", "functional": "PBE", "state": "optimized geometry", "lattice_angstrom": [[-0.017, 4.881, 1.055], [-4.945, 0.130, -0.683], [-0.695, -1.047, 4.833]], "species": ["Re", "Re", "Re", "Tl", "S"], "frac_coords": [[0.000, 0.500, 0.000], [0.000, 0.000, 0.500], [0.500, 0.000, 0.000], [0.000, 0.000, 0.000], [0.500, 0.500, 0.500]], "space_group": "Pm-3m", "crystal_system": "cubic", "e_above_lowest_polymorph_ev_per_fu": 12.711, "total_energy_ev_per_fu": -25.329}

{"formula": "Na3PmDy2S6", "functional": "PBE", "state": "optimized geometry", "lattice_angstrom": [[-1.460, -6.613, -1.640], [4.616, 1.406, 5.027], [-5.974, 1.700, 3.400]], "species": ["Na", "Na", "Na", "Pm", "Dy", "Dy", "S", "S", "S", "S", "S", "S"], "frac_coords": [[0.166, 0.834, 0.500], [0.834, 0.166, 0.500], [0.500, 0.500, 0.500], [0.000, 0.000, 0.000], [0.333, 0.667, 0.000], [0.667, 0.333, 0.000], [0.924, 0.584, 0.772], [0.736, 0.736, 0.229], [0.076, 0.416, 0.228], [0.584, 0.924, 0.772], [0.264, 0.264, 0.771], [0.416, 0.076, 0.228]], "space_group": "C2/m", "crystal_system": "monoclinic", "total_energy_ev_per_fu": -64.692}

{"formula": "AcErH", "functional": "PBE", "state": "optimized geometry", "lattice_angstrom": [[-2.349, -1.441, 2.574], [-0.251, -1.090, -3.601], [3.923, -4.468, 1.079]], "species": ["H", "Ac", "Er"], "frac_coords": [[0.333, 0.667, 0.634], [0.000, 0.000, 0.926], [0.667, 0.333, 0.440]], "space_group": "P3m1", "crystal_system": "trigonal", "e_above_lowest_polymorph_ev_per_fu": 0.000, "total_energy_ev_per_fu": -12.419}

{"formula": "TeSeBr2", "functional": "PBE", "state": "optimized geometry", "lattice_angstrom": [[-0.502, 0.127, 5.161], [-4.241, -2.967, -0.335], [4.453, -1.586, -2.136]], "species": ["Br", "Br", "Se", "Te"], "frac_coords": [[0.000, 0.000, 0.000], [0.250, 0.750, 0.500], [0.500, 0.500, 0.000], [0.750, 0.250, 0.500]], "space_group": "F-43m", "crystal_system": "cubic", "e_above_lowest_polymorph_ev_per_fu": 2.097, "total_energy_ev_per_fu": -8.544}

{"formula": "MgTa2W", "functional": "PBE", "state": "optimized geometry", "lattice_angstrom": [[-3.036, -4.552, 0.776], [2.694, 0.417, -4.807], [2.007, -1.806, 0.452]], "species": ["Mg", "Ta", "Ta", "W"], "frac_coords": [[0.000, 0.500, 0.500], [0.000, 0.000, 0.000], [0.500, 0.500, 0.000], [0.500, 0.000, 0.500]], "space_group": "C2/m", "formation_enthalpy_0k_mev_per_atom": 246, "crystal_system": "monoclinic", "total_energy_ev_per_fu": -37.270}

{"formula": "La6PrSc", "functional": "PBE", "state": "optimized geometry", "lattice_angstrom": [[5.175, 0.000, 0.000], [0.000, 5.175, 0.000], [0.000, 0.000, 10.384]], "species": ["La", "La", "La", "La", "La", "La", "Pr", "Sc"], "frac_coords": [[0.500, 0.500, 0.000], [0.500, 0.500, 0.500], [0.500, 0.000, 0.256], [0.500, 0.000, 0.744], [0.000, 0.500, 0.256], [0.000, 0.500, 0.744], [0.000, 0.000, 0.000], [0.000, 0.000, 0.500]], "space_group": "P4/mmm", "formation_enthalpy_0k_mev_per_atom": 22, "crystal_system": "tetragonal", "total_energy_ev_per_fu": -40.497}

{"formula": "KScZn2", "functional": "PBE", "state": "optimized geometry", "lattice_angstrom": [[4.868, -0.012, 0.007], [3.800, 3.042, 0.007], [1.056, 0.369, 7.452]], "species": ["K", "Sc", "Zn", "Zn"], "frac_coords": [[0.250, 0.250, 0.250], [0.750, 0.750, 0.750], [0.015, 0.015, 0.910], [0.485, 0.485, 0.590]], "space_group": "C2/m", "formation_enthalpy_0k_mev_per_atom": 170, "crystal_system": "monoclinic", "e_above_lowest_polymorph_ev_per_fu": 0.712, "total_energy_ev_per_fu": -9.297}

{"formula": "Pm2Nd6ErMg", "functional": "PBE", "state": "optimized geometry", "lattice_angstrom": [[9.161, -2.114, -2.194], [0.855, 8.633, -1.953], [0.855, -2.271, 8.555]], "species": ["Pm", "Pm", "Pm", "Pm", "Nd", "Nd", "Nd", "Nd", "Nd", "Nd", "Nd", "Nd", "Nd", "Nd", "Nd", "Nd", "Er", "Er", "Mg", "Mg"], "frac_coords": [[0.451, 0.797, 0.699], [0.049, 0.301, 0.203], [0.549, 0.203, 0.301], [0.951, 0.699, 0.797], [0.051, 0.126, 0.762], [0.449, 0.238, 0.874], [0.949, 0.874, 0.238], [0.551, 0.762, 0.126], [0.304, 0.999, 0.429], [0.196, 0.571, 0.001], [0.696, 0.001, 0.571], [0.804, 0.429, 0.999], [0.113, 0.708, 0.502], [0.387, 0.498, 0.292], [0.887, 0.292, 0.498], [0.613, 0.502, 0.708], [0.250, 0.981, 0.019], [0.750, 0.019, 0.981], [0.250, 0.410, 0.590], [0.750, 0.590, 0.410]], "space_group": "C2/c", "formation_enthalpy_0k_mev_per_atom": 109, "crystal_system": "monoclinic", "total_energy_ev_per_fu": -43.177}

{"formula": "Rb2PbI2Br2", "functional": "PBE", "state": "optimized geometry", "lattice_angstrom": [[-4.339, -3.800, 1.432], [2.641, -1.049, 5.220], [-4.030, 9.459, 0.556]], "species": ["Rb", "Rb", "Pb", "I", "I", "Br", "Br"], "frac_coords": [[0.366, 0.366, 0.732], [0.634, 0.634, 0.268], [0.000, 0.000, 0.000], [0.171, 0.171, 0.342], [0.829, 0.829, 0.658], [0.000, 0.500, 0.000], [0.500, 0.000, 0.000]], "space_group": "I4/mmm", "crystal_system": "tetragonal", "total_energy_ev_per_fu": -20.847}

{"formula": "InTcAs2", "functional": "PBE", "state": "optimized geometry", "lattice_angstrom": [[4.505, -0.006, -0.001], [3.295, 3.073, -0.001], [0.870, 0.342, 5.589]], "species": ["As", "As", "Tc", "In"], "frac_coords": [[0.975, 0.975, 0.065], [0.525, 0.525, 0.435], [0.250, 0.250, 0.250], [0.750, 0.750, 0.750]], "space_group": "C2/m", "formation_enthalpy_0k_mev_per_atom": 153, "crystal_system": "monoclinic", "total_energy_ev_per_fu": -21.792}

{"formula": "CeNdThTl", "functional": "PBE", "state": "optimized geometry", "lattice_angstrom": [[-0.654, 5.343, -1.250], [-5.060, 2.025, -0.909], [-2.301, 3.434, 3.667]], "species": ["Tl", "Nd", "Ce", "Th"], "frac_coords": [[0.750, 0.750, 0.750], [0.000, 0.000, 0.000], [0.250, 0.250, 0.250], [0.500, 0.500, 0.500]], "space_group": "F-43m", "formation_enthalpy_0k_mev_per_atom": 58, "crystal_system": "cubic", "total_energy_ev_per_fu": -20.254}

{"formula": "Pa2BrO6", "functional": "PBE", "state": "optimized geometry", "lattice_angstrom": [[-2.172, -1.180, -2.772], [2.626, -5.662, 2.840], [-4.772, 2.318, 2.752]], "species": ["Pa", "Pa", "Br", "O", "O", "O", "O", "O", "O"], "frac_coords": [[0.820, 0.639, 0.820], [0.180, 0.361, 0.180], [0.000, 0.000, 0.500], [0.320, 0.640, 0.035], [0.680, 0.360, 0.965], [0.000, 0.000, 0.178], [0.680, 0.361, 0.394], [0.000, 0.000, 0.822], [0.320, 0.639, 0.606]], "space_group": "C2/m", "crystal_system": "monoclinic", "total_energy_ev_per_fu": -73.851}

{"formula": "BaLiOs2", "functional": "PBE", "state": "optimized geometry", "lattice_angstrom": [[0.000, 3.340, 3.340], [3.340, 0.000, 3.340], [3.340, 3.340, 0.000]], "species": ["Os", "Os", "Ba", "Li"], "frac_coords": [[0.250, 0.250, 0.250], [0.750, 0.750, 0.750], [0.500, 0.500, 0.500], [0.000, 0.000, 0.000]], "space_group": "Fm-3m", "formation_enthalpy_0k_mev_per_atom": 1573, "crystal_system": "cubic", "e_above_lowest_polymorph_ev_per_fu": 5.346, "total_energy_ev_per_fu": -20.005}

{"formula": "Pm5ZnCu2", "functional": "PBE", "state": "optimized geometry", "lattice_angstrom": [[-3.791, -0.141, -7.168], [-2.019, -7.759, 1.220], [-2.477, 5.792, 5.784]], "species": ["Pm", "Pm", "Pm", "Pm", "Pm", "Pm", "Pm", "Pm", "Pm", "Pm", "Zn", "Zn", "Cu", "Cu", "Cu", "Cu"], "frac_coords": [[0.513, 0.697, 0.710], [0.803, 0.987, 0.290], [0.000, 0.000, 0.000], [0.500, 0.500, 0.000], [0.197, 0.013, 0.710], [0.697, 0.197, 0.710], [0.013, 0.513, 0.710], [0.303, 0.803, 0.290], [0.987, 0.487, 0.290], [0.487, 0.303, 0.290], [0.750, 0.750, 0.500], [0.250, 0.250, 0.500], [0.126, 0.374, 0.000], [0.626, 0.126, 0.000], [0.374, 0.874, 0.000], [0.874, 0.626, 0.000]], "space_group": "I4/mcm", "formation_enthalpy_0k_mev_per_atom": -132, "crystal_system": "tetragonal", "total_energy_ev_per_fu": -34.274}

{"formula": "Tc3PdW", "functional": "PBE", "state": "optimized geometry", "lattice_angstrom": [[4.660, 0.000, 0.000], [0.000, 4.660, 0.000], [0.000, 0.000, 4.660]], "species": ["Pd", "W", "Tc", "Tc", "Tc"], "frac_coords": [[0.500, 0.500, 0.500], [0.000, 0.000, 0.000], [0.000, 0.500, 0.000], [0.000, 0.000, 0.500], [0.500, 0.000, 0.000]], "space_group": "Pm-3m", "formation_enthalpy_0k_mev_per_atom": 1779, "crystal_system": "cubic", "e_above_lowest_polymorph_ev_per_fu": 0.000, "total_energy_ev_per_fu": -40.350}

{"formula": "PmMnH8Rh4", "functional": "PBE", "state": "optimized geometry", "lattice_angstrom": [[5.761, 0.000, 0.000], [2.880, 4.989, 0.000], [2.880, 1.663, 4.486]], "species": ["Pm", "Mn", "H", "H", "H", "H", "H", "H", "H", "H", "Rh", "Rh", "Rh", "Rh"], "frac_coords": [[0.380, 0.380, 0.859], [0.994, 0.994, 0.018], [0.229, 0.849, 0.694], [0.849, 0.229, 0.694], [0.229, 0.229, 0.694], [0.217, 0.217, 0.350], [0.734, 0.242, 0.290], [0.242, 0.734, 0.290], [0.734, 0.734, 0.290], [0.761, 0.761, 0.718], [0.630, 0.630, 0.109], [0.998, 0.506, 0.498], [0.506, 0.998, 0.498], [0.998, 0.998, 0.498]], "space_group": "R3m", "crystal_system": "trigonal", "total_energy_ev_per_fu": -72.879}